[1]
The following is a GGA-PBE calculation of a relaxed CaMg5Tl6 crystal, from the Alexandria database.

## Properties
Space group = C2/m, No. 12

Unit cell a=7.2265 b=7.2265 c=6.1340 alpha=97.01 beta=97.01 gamma=92.94
Sites, in units of the cell vectors:
Ca (0.0000, 0.0000, 0.0000)
Mg (0.1757, 0.8243, 0.5000)
Mg (0.3411, 0.6589, 0.0000)
Mg (0.5000, 0.5000, 0.5000)
Mg (0.6589, 0.3411, 0.0000)
Mg (0.8243, 0.1757, 0.5000)
Tl (0.0845, 0.4262, 0.2474)
Tl (0.2515, 0.2515, 0.7306)
Tl (0.4262, 0.0845, 0.2474)
Tl (0.5738, 0.9155, 0.7526)
Tl (0.7485, 0.7485, 0.2694)
Tl (0.9155, 0.5738, 0.7526)



[2]
The following is a GGA-PBE calculation of a relaxed CaMgTl4 crystal, from the Alexandria database.

## Properties
Space group = C2/m, No. 12

Unit cell a=5.0770 b=5.0770 c=7.3242 alpha=95.92 beta=95.92 gamma=66.03
Sites, in units of the cell vectors:
Ca (0.0000, 0.0000, 0.0000)
Mg (0.0000, 0.0000, 0.5000)
Tl (0.3261, 0.3261, 0.8108)
Tl (0.3375, 0.3375, 0.3340)
Tl (0.6625, 0.6625, 0.6660)
Tl (0.6739, 0.6739, 0.1892)



[3]
The following is a GGA-PBE calculation of a relaxed Ca2MgTl crystal, from the Alexandria database.

## Properties
Space group = Cm, No. 8

Unit cell a=3.7554 b=3.7554 c=10.8874 alpha=100.12 beta=100.12 gamma=59.83
Sites, in units of the cell vectors:
Ca (0.0000, 0.0000, 0.0000)
Ca (0.1732, 0.1732, 0.5203)
Mg (0.4197, 0.4197, 0.2599)
Tl (0.5863, 0.5863, 0.7598)



[4]
The following is a GGA-PBE calculation of a relaxed CaMg2Tl2 crystal, from the Alexandria database.

## Properties
Space group = P4/mbm, No. 127

Unit cell a=8.6682 b=8.6682 c=3.6124 alpha=90.00 beta=90.00 gamma=90.00
Sites, in units of the cell vectors:
Ca (0.0000, 0.0000, 0.0000)
Ca (0.5000, 0.5000, 0.0000)
Mg (0.1455, 0.3545, 0.5000)
Mg (0.3545, 0.8545, 0.5000)
Mg (0.6455, 0.1455, 0.5000)
Mg (0.8545, 0.6455, 0.5000)
Tl (0.1507, 0.6507, 0.0000)
Tl (0.3493, 0.1507, 0.0000)
Tl (0.6507, 0.8493, 0.0000)
Tl (0.8493, 0.3493, 0.0000)



[5]
The following is a GGA-PBE calculation of a relaxed Ca2MgTl9 crystal, from the Alexandria database.

## Properties
Space group = P4/mmm, No. 123

Unit cell a=4.8725 b=4.8725 c=14.4002 alpha=90.00 beta=90.00 gamma=90.00
Sites, in units of the cell vectors:
Ca (0.0000, 0.0000, 0.1691)
Ca (0.0000, 0.0000, 0.8309)
Mg (0.0000, 0.0000, 0.5000)
Tl (0.0000, 0.5000, 0.0000)
Tl (0.0000, 0.5000, 0.3403)
Tl (0.0000, 0.5000, 0.6597)
Tl (0.5000, 0.0000, 0.0000)
Tl (0.5000, 0.0000, 0.3403)
Tl (0.5000, 0.0000, 0.6597)
Tl (0.5000, 0.5000, 0.1636)
Tl (0.5000, 0.5000, 0.5000)
Tl (0.5000, 0.5000, 0.8364)



[6]
The following is a GGA-PBE calculation of a relaxed Ca3Mg3Tl2 crystal, from the Alexandria database.

## Properties
Space group = Pnma, No. 62

Unit cell a=8.5478 b=17.7381 c=6.2510 alpha=90.00 beta=90.00 gamma=90.00
Sites, in units of the cell vectors:
Ca (0.0312, 0.1094, 0.1143)
Ca (0.0312, 0.3906, 0.1143)
Ca (0.1603, 0.2500, 0.6522)
Ca (0.3397, 0.7500, 0.1522)
Ca (0.4688, 0.6094, 0.6143)
Ca (0.4688, 0.8906, 0.6143)
Ca (0.5312, 0.1094, 0.3857)
Ca (0.5312, 0.3906, 0.3857)
Ca (0.6603, 0.2500, 0.8478)
Ca (0.8397, 0.7500, 0.3478)
Ca (0.9688, 0.6094, 0.8857)
Ca (0.9688, 0.8906, 0.8857)
Mg (0.1784, 0.0305, 0.6005)
Mg (0.1784, 0.4695, 0.6005)
Mg (0.1813, 0.7500, 0.6619)
Mg (0.3187, 0.2500, 0.1619)
Mg (0.3216, 0.5305, 0.1005)
Mg (0.3216, 0.9695, 0.1005)
Mg (0.6784, 0.0305, 0.8995)
Mg (0.6784, 0.4695, 0.8995)
Mg (0.6813, 0.7500, 0.8381)
Mg (0.8187, 0.2500, 0.3381)
Mg (0.8216, 0.5305, 0.3995)
Mg (0.8216, 0.9695, 0.3995)
Tl (0.1159, 0.6171, 0.3838)
Tl (0.1159, 0.8829, 0.3838)
Tl (0.3841, 0.1171, 0.8838)
Tl (0.3841, 0.3829, 0.8838)
Tl (0.6159, 0.6171, 0.1162)
Tl (0.6159, 0.8829, 0.1162)
Tl (0.8841, 0.1171, 0.6162)
Tl (0.8841, 0.3829, 0.6162)



Number 1: formation enthalpy at 0 K -0.09 eV/atom, total moment 0.00 μB per formula unit. Number 2: formation enthalpy at 0 K -0.11 eV/atom, total moment 0.00 μB per formula unit. Number 3: formation enthalpy at 0 K -0.11 eV/atom, total moment 0.00 μB per formula unit. Number 4: formation enthalpy at 0 K -0.14 eV/atom, total moment 0.00 μB per formula unit. Number 5: formation enthalpy at 0 K -0.15 eV/atom, total moment 0.00 μB per formula unit. Number 6: formation enthalpy at 0 K -0.20 eV/atom, total moment 0.00 μB per formula unit.